# Ba2Zn3CdPd4, relaxed, DFT PBE
data_Ba2Zn3CdPd4
_chemical_formula_sum 'Ba2 Zn3 Cd1 Pd4'
_symmetry_space_group_name_H-M 'P -4 m 2'
_symmetry_Int_Tables_number 115
_cell_length_a 4.5477
_cell_length_b 4.5477
_cell_length_c 10.8415
_cell_angle_alpha 90.00
_cell_angle_beta 90.00
_cell_angle_gamma 90.00
loop_
_symmetry_equiv_pos_as_xyz
'x,y,z'
'y,-x,-z'
'-x,-y,z'
'-y,x,-z'
'-x,y,z'
'-y,-x,-z'
'x,-y,z'
'y,x,-z'
loop_
_atom_site_label
_atom_site_type_symbol
_atom_site_fract_x
_atom_site_fract_y
_atom_site_fract_z
Ba1 Ba 0.0000 0.5000 0.2391
Zn1 Zn 0.0000 0.5000 0.8831
Zn2 Zn 0.5000 0.5000 0.5000
Cd1 Cd 0.0000 0.0000 0.5000
Pd1 Pd 0.0000 0.0000 0.0000
Pd2 Pd 0.0000 0.5000 0.6412
Pd3 Pd 0.5000 0.5000 0.0000
# DOS(E_F) in states/eV/cell: 5.1
# Energy of formation from the pure elements in eV/f.u.: -4.95
# Mass density in g cm⁻³: 7.5

# BaPmCd10, relaxed, DFT PBE
data_BaPmCd10
_chemical_formula_sum 'Ba1 Pm1 Cd10'
_symmetry_space_group_name_H-M 'P m m m'
_symmetry_Int_Tables_number 47
_cell_length_a 4.8964
_cell_length_b 5.9971
_cell_length_c 10.4782
_cell_angle_alpha 90.00
_cell_angle_beta 90.00
_cell_angle_gamma 90.00
loop_
_symmetry_equiv_pos_as_xyz
'x,y,z'
'-x,-y,-z'
'-x,-y,z'
'x,y,-z'
'x,-y,-z'
'-x,y,z'
'-x,y,-z'
'x,-y,z'
loop_
_atom_site_label
_atom_site_type_symbol
_atom_site_fract_x
_atom_site_fract_y
_atom_site_fract_z
Ba1 Ba 0.0000 0.0000 0.0000
Pm1 Pm 0.0000 0.5000 0.5000
Cd1 Cd 0.0000 0.0000 0.3422
Cd2 Cd 0.0000 0.5000 0.1778
Cd3 Cd 0.5000 0.0000 0.5000
Cd4 Cd 0.5000 0.2536 0.2584
Cd5 Cd 0.5000 0.5000 0.0000
# DOS(E_F) in states/eV/cell: 5.8
# Energy of formation from the pure elements in eV/f.u.: -2.34
# Mass density in g cm⁻³: 7.6

# Ba2PmCd3, relaxed, DFT PBE
data_Ba2PmCd3
_chemical_formula_sum 'Ba8 Pm4 Cd12'
_symmetry_space_group_name_H-M 'C m m m'
_symmetry_Int_Tables_number 65
_symmetry_space_group_name_Hall '-C 2 2'
_cell_length_a 5.7899
_cell_length_b 17.4190
_cell_length_c 8.2133
_cell_angle_alpha 90.00
_cell_angle_beta 90.00
_cell_angle_gamma 90.00
loop_
_atom_site_label
_atom_site_type_symbol
_atom_site_fract_x
_atom_site_fract_y
_atom_site_fract_z
Ba1 Ba 0.0000 0.0000 0.0000
Ba2 Ba 0.0000 0.0000 0.5000
Ba3 Ba 0.0000 0.3352 0.0000
Pm1 Pm 0.0000 0.3345 0.5000
Cd1 Cd 0.0000 0.1769 0.2874
Cd2 Cd 0.0000 0.5000 0.2728
# DOS(E_F) in states/eV/cell: 18.7
# Energy of formation from the pure elements in eV/f.u.: -1.71
# Mass density in g cm⁻³: 6.1

# BaPm2Cd2, relaxed, DFT PBE
data_BaPm2Cd2
_chemical_formula_sum 'Ba2 Pm4 Cd4'
_symmetry_space_group_name_H-M 'C m m m'
_symmetry_Int_Tables_number 65
_symmetry_space_group_name_Hall '-C 2 2'
_cell_length_a 4.0807
_cell_length_b 21.6016
_cell_length_c 3.8768
_cell_angle_alpha 90.00
_cell_angle_beta 90.00
_cell_angle_gamma 90.00
loop_
_atom_site_label
_atom_site_type_symbol
_atom_site_fract_x
_atom_site_fract_y
_atom_site_fract_z
Ba1 Ba 0.0000 0.0000 0.0000
Pm1 Pm 0.0000 0.1833 0.0000
Cd1 Cd 0.0000 0.3900 0.5000
# DOS(E_F) in states/eV/cell: 11.0
# Energy of formation from the pure elements in eV/f.u.: -0.59
# Mass density in g cm⁻³: 6.3

Copy entry 1 word for word.
# Ba2Zn3CdPd4, relaxed, DFT PBE
data_Ba2Zn3CdPd4
_chemical_formula_sum 'Ba2 Zn3 Cd1 Pd4'
_symmetry_space_group_name_H-M 'P -4 m 2'
_symmetry_Int_Tables_number 115
_cell_length_a 4.5477
_cell_length_b 4.5477
_cell_length_c 10.8415
_cell_angle_alpha 90.00
_cell_angle_beta 90.00
_cell_angle_gamma 90.00
loop_
_symmetry_equiv_pos_as_xyz
'x,y,z'
'y,-x,-z'
'-x,-y,z'
'-y,x,-z'
'-x,y,z'
'-y,-x,-z'
'x,-y,z'
'y,x,-z'
loop_
_atom_site_label
_atom_site_type_symbol
_atom_site_fract_x
_atom_site_fract_y
_atom_site_fract_z
Ba1 Ba 0.0000 0.5000 0.2391
Zn1 Zn 0.0000 0.5000 0.8831
Zn2 Zn 0.5000 0.5000 0.5000
Cd1 Cd 0.0000 0.0000 0.5000
Pd1 Pd 0.0000 0.0000 0.0000
Pd2 Pd 0.0000 0.5000 0.6412
Pd3 Pd 0.5000 0.5000 0.0000
# DOS(E_F) in states/eV/cell: 5.1
# Energy of formation from the pure elements in eV/f.u.: -4.95
# Mass density in g cm⁻³: 7.5